Entry 1:
KRu2Br | PBE | optimized geometry

Properties
Theoretical density in g cm⁻³: 5.8
Energy above the most stable polymorph in this dataset in meV per atom: 6
Uncorrected formation energy in eV/atom: 0.320
E in eV/cell: -20.04

Cell lengths 3.2592, 3.3605, 8.6154 Å; angles 78.75, 90.00, 90.00 degrees
Last column: nearest neighbours and their distance in Å.
Element x y z (fractional)
Ru (0.5000, 0.2710, 0.0825)  4 Ru 2.52
Ru (0.0000, 0.7164, 0.1919)  1 Br 2.50, 4 Ru 2.52
K (0.5000, 0.9435, 0.7379)  4 Br 3.15, 4 K 3.26-3.36, 2 Ru 3.36
Br (0.0000, 0.5690, 0.4878)  1 Ru 2.50



Entry 2:
SbTe2P | PBE | optimized geometry

Properties
Theoretical density in g cm⁻³: 5.5
Energy above the most stable polymorph in this dataset in meV per atom: 186
Uncorrected formation energy in eV/atom: 0.344
E in eV/cell: -28.88

Cell lengths 7.5940, 7.5940, 6.8604 Å; angles 56.39, 56.39, 90.00 degrees
Last column: nearest neighbours and their distance in Å.
Element x y z (fractional)
P (0.2500, 0.7500, 0.5000)  4 Te 2.74
P (0.5000, 0.5000, 0.0000)  4 Te 2.74
Sb (0.7500, 0.2500, 0.5000)  4 Te 3.05
Sb (0.0000, 0.0000, 0.0000)  4 Te 3.05
Te (0.1554, 0.6250, 0.2500)  2 P 2.74, 2 Sb 3.05
Te (0.8750, 0.8446, 0.7500)  2 P 2.74, 2 Sb 3.05
Te (0.3750, 0.4054, 0.7500)  2 P 2.74, 2 Sb 3.05
Te (0.5946, 0.1250, 0.2500)  2 P 2.74, 2 Sb 3.05